VASP calculation (PBE-GGA) on a geometry-optimized Pm3PdN structure.

Cell lengths 7.856, 3.666, 8.550 Å; angles 90.00, 108.62, 90.00 degrees
Sites, in units of the cell vectors:
Pm (0.083, 0.000, 0.339)
Pm (0.305, 0.000, 0.042)
Pm (0.328, 0.500, 0.694)
Pm (0.672, 0.500, 0.306)
Pm (0.695, 0.000, 0.958)
Pm (0.917, 0.000, 0.661)
Pd (0.000, 0.500, 0.000)
Pd (0.500, 0.000, 0.500)
N (0.000, 0.500, 0.500)
N (0.500, 0.500, 0.000)

Properties
As for the formation energy without anion corrections: -77.3 kJ/mol of atoms. For the energy, the calculation gives -63.55 eV per cell. As for the energy above the most stable polymorph in this dataset: 0 meV/atom.